Record 1
Compound: Li3FeO4
Source: Alexandria via LeMat-Bulk
Functional: SCAN
Structure: PBEsol geometry

The space group is I4mm (No. 107) and the conventional cell measures 3.921, 3.921 and 8.228 Å, with angles of 90.00, 90.00 and 90.00 degrees. Symmetry generates all atoms from Li at (0.000, 0.000, 0.000), Li at (0.000, 0.500, 0.236), Fe at (0.000, 0.000, 0.483), O at (0.000, 0.000, 0.268), O at (0.000, 0.000, 0.696) and O at (0.000, 0.500, 0.484).

For the formation energy (no corrections), the calculation gives -1792.0 meV/atom. As for the magnetization: 7.8 μB per cell.

=====

Record 2
Compound: Al2CrAg
Source: Alexandria via LeMat-Bulk
Functional: SCAN
Structure: PBEsol geometry

The space group is I-4m2 (No. 119) and the conventional cell measures 3.821, 3.821 and 8.210 Å, with angles of 90.00, 90.00 and 90.00 degrees. Symmetry generates all atoms from Al at (0.000, 0.000, 0.000), Al at (0.000, 0.500, 0.250), Cr at (0.000, 0.000, 0.500) and Ag at (0.000, 0.500, 0.750).

The total energy is -16.44 eV per atom. As for the magnetization: 6.6 μB per cell.

=====

Record 3
Compound: PPdAu3
Source: Alexandria via LeMat-Bulk
Functional: SCAN
Structure: PBEsol geometry

The space group is Pm-3m (No. 221) and the conventional cell measures 4.571, 4.571 and 4.571 Å, with angles of 90.00, 90.00 and 90.00 degrees. Symmetry generates all atoms from P at (0.000, 0.000, 0.000), Pd at (0.500, 0.500, 0.500) and Au at (0.000, 0.000, 0.500).

The total energy is -49.85 eV per atom. As for the magnetization: 0.0 μB per cell.

=====

Record 4
Compound: TePIrS2
Source: Alexandria via LeMat-Bulk
Functional: SCAN
Structure: PBEsol geometry

The space group is P4/mmm (No. 123) and the conventional cell measures 4.788, 4.788 and 5.026 Å, with angles of 90.00, 90.00 and 90.00 degrees. Symmetry generates all atoms from Te at (0.000, 0.000, 0.000), P at (0.000, 0.000, 0.500), Ir at (0.500, 0.500, 0.500) and S at (0.000, 0.500, 0.000).

For the formation energy (no corrections), the calculation gives 1821.7 meV/atom. As for the magnetization: 2.8 μB per cell.

=====

Record 5
Compound: ZrRuSCl2
Source: Alexandria via LeMat-Bulk
Functional: SCAN
Structure: PBEsol geometry

The space group is P4/mmm (No. 123) and the conventional cell measures 4.870, 4.870 and 4.932 Å, with angles of 90.00, 90.00 and 90.00 degrees. Symmetry generates all atoms from Zr at (0.000, 0.000, 0.000), Ru at (0.500, 0.500, 0.500), S at (0.000, 0.000, 0.500) and Cl at (0.000, 0.500, 0.000).

For the formation energy (no corrections), the calculation gives -290.9 meV/atom. As for the magnetization: 3.1 μB per cell.

=====

Record 6
Compound: SrFe2Au
Source: Alexandria via LeMat-Bulk
Functional: SCAN
Structure: PBEsol geometry

The space group is P4/mmm (No. 123) and the conventional cell measures 4.085, 4.085 and 4.242 Å, with angles of 90.00, 90.00 and 90.00 degrees. Symmetry generates all atoms from Sr at (0.000, 0.000, 0.000), Fe at (0.000, 0.500, 0.500) and Au at (0.500, 0.500, 0.000).

The total energy is -31.51 eV per atom. As for the magnetization: 5.3 μB per cell.

=====

Record 7
Compound: Y2Co3
Source: Alexandria via LeMat-Bulk
Functional: SCAN
Structure: PBEsol geometry

The space group is Fdd2 (No. 43) and the conventional cell measures 9.013, 14.131 and 5.246 Å, with angles of 90.00, 90.00 and 90.00 degrees. Symmetry generates all atoms from Y at (0.082, 0.298, 0.000), Co at (0.000, 0.000, 0.242) and Co at (0.083, 0.374, 0.512).

The total energy is -21.61 eV per atom. As for the magnetization: 22.7 μB per cell.

=====

Record 8
Compound: CaScCl3
Source: Alexandria via LeMat-Bulk
Functional: SCAN
Structure: PBEsol geometry

The space group is Pm-3m (No. 221) and the conventional cell measures 5.217, 5.217 and 5.217 Å, with angles of 90.00, 90.00 and 90.00 degrees. Symmetry generates all atoms from Ca at (0.000, 0.000, 0.000), Sc at (0.500, 0.500, 0.500) and Cl at (0.000, 0.000, 0.500).

For the formation energy (no corrections), the calculation gives -1516.3 meV/atom. As for the magnetization: 2.0 μB per cell.